First-principles (meta-GGA SCAN) data for a PBEsol-optimized structure of CsSn2As2, as listed in Alexandria via LeMat-Bulk.

abc: 5.2003 5.2003 10.9596
angles: 90.00 90.00 90.00
With the nearest neighbours (Å) after each atom.
Space group I4/mmm (No. 139)
Asymmetric unit:
Cs 0.0000 0.0000 0.0000 (multiplicity 2)  8 As 3.78, 10 Sn 3.83-4.03
Sn 0.0000 0.0000 0.3498 (multiplicity 4)  4 As 2.82
As 0.0000 0.5000 0.2500 (multiplicity 4)  4 Sn 2.82

Output
The formation energy from the elements is -0.192 eV per atom. The calculation puts the total DFT energy (no corrections) at -30.199 eV per atom.